Computed, not measured: a relaxed Ba3ScW crystal at the PBE level of DFT.

Geometry as POSCAR:
```
Ba3ScW
1.0
6.051 0.000 0.000
0.000 6.051 0.000
0.000 0.000 6.051
Sc Ba W
1 3 1
direct
0.500 0.500 0.500
0.000 0.500 0.000
0.000 0.000 0.500
0.500 0.000 0.000
0.000 0.000 0.000
```

Energy of formation ... 1180.9 meV per atom
Energy above the lowest structure with this stoichiometry ... 0.000 eV per atom
Space group ... Pm-3m
M_tot ... 1.3 Bohr magnetons per cell


Computed, not measured: a relaxed BaSc2W crystal at the PBE level of DFT.

Geometry as POSCAR:
```
BaSc2W
1.0
6.501 0.010 -0.004
2.807 5.864 0.004
-3.684 -4.475 2.944
Ba Sc W
1 2 1
direct
0.250 0.750 0.500
0.944 0.944 0.000
0.556 0.556 0.000
0.750 0.250 0.500
```

Energy of formation ... 729.5 meV per atom
Energy above the lowest structure with this stoichiometry ... 0.326 eV per atom
Space group ... Immm
M_tot ... 0.0 Bohr magnetons per cell